1.
Computed, not measured: a relaxed structure of CaThCuPt at the PBE level of DFT.

Summary:
DFT formation energy in meV per atom: -575

Cell lengths 5.0335, 5.0335, 5.0335 Å; angles 60.00, 60.00, 60.00 degrees
Closest atoms and distances in Å follow each position.
Fractional coordinates of all 4 atoms:
Ca  0.0000  0.0000  0.0000  4 Cu 3.08, 4 Pt 3.08
Th  0.5000  0.5000  0.5000  4 Cu 3.08, 4 Pt 3.08
Cu  0.7500  0.7500  0.7500  4 Th 3.08, 4 Ca 3.08
Pt  0.2500  0.2500  0.2500  4 Th 3.08, 4 Ca 3.08

2.
Computed, not measured: a relaxed structure of CaTiCuPt2 at the PBE level of DFT.

Summary:
DFT formation energy in meV per atom: 1081

Cell lengths 4.9291, 4.9291, 4.5455 Å; angles 90.00, 90.00, 90.00 degrees
Closest atoms and distances in Å follow each position.
Fractional coordinates of all 5 atoms:
Ca  0.0000  0.0000  0.0000  2 Cu 2.27, 4 Pt 2.46
Ti  0.5000  0.5000  0.5000  8 Pt 3.35, 4 Cu 3.49
Cu  0.0000  0.0000  0.5000  2 Ca 2.27
Pt  0.0000  0.5000  0.0000  2 Ca 2.46
Pt  0.5000  0.0000  0.0000  2 Ca 2.46

3.
Computed, not measured: a relaxed structure of CaTiCuPt2 at the PBE level of DFT.

Summary:
DFT formation energy in meV per atom: -655

Cell lengths 6.5833, 6.5833, 6.5833 Å; angles 144.73, 144.73, 50.74 degrees
Closest atoms and distances in Å follow each position.
Fractional coordinates of all 5 atoms:
Ca  0.0000  0.0000  0.0000  8 Pt 3.12
Ti  0.2500  0.7500  0.5000  4 Pt 2.58, 4 Cu 2.82
Cu  0.7500  0.2500  0.5000  4 Pt 2.58, 4 Ti 2.82
Pt  0.3881  0.3881  0.0000  2 Cu 2.58, 2 Ti 2.58, 1 Pt 2.66
Pt  0.6119  0.6119  0.0000  2 Cu 2.58, 2 Ti 2.58, 1 Pt 2.66

4.
Computed, not measured: a relaxed structure of CaYCuPt at the PBE level of DFT.

Summary:
DFT formation energy in meV per atom: -682

Cell lengths 4.2804, 5.7856, 5.7856 Å; angles 39.60, 90.00, 90.00 degrees
Closest atoms and distances in Å follow each position.
Fractional coordinates of all 4 atoms:
Ca  0.0000  0.0000  0.0000  4 Cu 3.01, 3 Pt 3.05-3.10
Y  0.5000  0.7193  0.7193  4 Pt 2.98, 3 Cu 2.98-3.19
Cu  0.5000  0.4258  0.4258  2 Pt 2.67, 2 Y 2.98
Pt  0.0000  0.2798  0.2798  2 Cu 2.67, 4 Y 2.98

5.
Computed, not measured: a relaxed structure of Ca2ZnCu2Pt5 at the PBE level of DFT.

Summary:
DFT formation energy in meV per atom: -594

Cell lengths 9.3462, 9.3462, 3.9044 Å; angles 90.00, 90.00, 90.00 degrees
Closest atoms and distances in Å follow each position.
Fractional coordinates of all 20 atoms:
Ca  0.1761  0.3239  0.0000  3 Cu 2.66-2.84
Ca  0.3239  0.8239  0.0000  3 Cu 2.66-2.84
Ca  0.6761  0.1761  0.0000  3 Cu 2.66-2.84
Ca  0.8239  0.6761  0.0000  3 Cu 2.66-2.84
Zn  0.0000  0.0000  0.0000  8 Pt 2.79
Zn  0.5000  0.5000  0.0000  8 Pt 2.79
Cu  0.1230  0.6230  0.0000  6 Pt 2.54-2.60, 3 Ca 2.66-2.84
Cu  0.3770  0.1230  0.0000  6 Pt 2.54-2.60, 3 Ca 2.66-2.84
Cu  0.6230  0.8770  0.0000  6 Pt 2.54-2.60, 3 Ca 2.66-2.84
Cu  0.8770  0.3770  0.0000  6 Pt 2.54-2.60, 3 Ca 2.66-2.84
Pt  0.0000  0.5000  0.5000  4 Cu 2.54, 4 Pt 2.83
Pt  0.0636  0.7960  0.5000  2 Cu 2.60, 2 Zn 2.79, 3 Pt 2.82-2.83
Pt  0.2040  0.0636  0.5000  2 Cu 2.60, 2 Zn 2.79, 3 Pt 2.82-2.83
Pt  0.2960  0.5636  0.5000  2 Cu 2.60, 2 Zn 2.79, 3 Pt 2.82-2.83
Pt  0.4364  0.2960  0.5000  2 Cu 2.60, 2 Zn 2.79, 3 Pt 2.82-2.83
Pt  0.5000  0.0000  0.5000  4 Cu 2.54, 4 Pt 2.83
Pt  0.5636  0.7040  0.5000  2 Cu 2.60, 2 Zn 2.79, 3 Pt 2.82-2.83
Pt  0.7040  0.4364  0.5000  2 Cu 2.60, 2 Zn 2.79, 3 Pt 2.82-2.83
Pt  0.7960  0.9364  0.5000  2 Cu 2.60, 2 Zn 2.79, 3 Pt 2.82-2.83
Pt  0.9364  0.2040  0.5000  2 Cu 2.60, 2 Zn 2.79, 3 Pt 2.82-2.83

6.
Computed, not measured: a relaxed structure of Ca2Zn6CuPt at the PBE level of DFT.

Summary:
DFT formation energy in meV per atom: -184

Cell lengths 6.7197, 6.7197, 6.7197 Å; angles 60.00, 60.00, 60.00 degrees
Closest atoms and distances in Å follow each position.
Fractional coordinates of all 10 atoms:
Ca  0.2500  0.2500  0.2500  12 Zn 3.36
Ca  0.7500  0.7500  0.7500  12 Zn 3.36
Zn  0.2433  0.2433  0.7567  1 Cu 2.31, 1 Pt 2.44
Zn  0.2433  0.7567  0.2433  1 Cu 2.31, 1 Pt 2.44
Zn  0.2433  0.7567  0.7567  1 Cu 2.31, 1 Pt 2.44
Zn  0.7567  0.2433  0.2433  1 Cu 2.31, 1 Pt 2.44
Zn  0.7567  0.2433  0.7567  1 Cu 2.31, 1 Pt 2.44
Zn  0.7567  0.7567  0.2433  1 Cu 2.31, 1 Pt 2.44
Cu  0.0000  0.0000  0.0000  6 Zn 2.31
Pt  0.5000  0.5000  0.5000  6 Zn 2.44

7.
Computed, not measured: a relaxed structure of Ca2Zn3Cu12Pt at the PBE level of DFT.

Summary:
DFT formation energy in meV per atom: 85

Cell lengths 9.8650, 9.8650, 9.8650 Å; angles 36.27, 36.27, 36.27 degrees
Closest atoms and distances in Å follow each position.
Fractional coordinates of all 18 atoms:
Ca  0.1492  0.1492  0.1492  12 Cu 3.09-3.46
Ca  0.8508  0.8508  0.8508  12 Cu 3.09-3.46
Zn  0.0000  0.5000  0.5000  6 Cu 2.41-2.58
Zn  0.5000  0.0000  0.5000  6 Cu 2.41-2.58
Zn  0.5000  0.5000  0.0000  6 Cu 2.41-2.58
Cu  0.0811  0.0811  0.6903  4 Cu 2.40-2.43, 2 Zn 2.41
Cu  0.0811  0.6903  0.0811  4 Cu 2.40-2.43, 2 Zn 2.41
Cu  0.1470  0.5657  0.5657  4 Cu 2.43-2.57, 1 Pt 2.52, 1 Zn 2.58
Cu  0.3097  0.9189  0.9189  4 Cu 2.40-2.43, 2 Zn 2.41
Cu  0.4343  0.4343  0.8530  4 Cu 2.43-2.57, 1 Pt 2.52, 1 Zn 2.58
Cu  0.4343  0.8530  0.4343  4 Cu 2.43-2.57, 1 Pt 2.52, 1 Zn 2.58
Cu  0.5657  0.1470  0.5657  4 Cu 2.43-2.57, 1 Pt 2.52, 1 Zn 2.58
Cu  0.5657  0.5657  0.1470  4 Cu 2.43-2.57, 1 Pt 2.52, 1 Zn 2.58
Cu  0.6903  0.0811  0.0811  4 Cu 2.40-2.43, 2 Zn 2.41
Cu  0.8530  0.4343  0.4343  4 Cu 2.43-2.57, 1 Pt 2.52, 1 Zn 2.58
Cu  0.9189  0.3097  0.9189  4 Cu 2.40-2.43, 2 Zn 2.41
Cu  0.9189  0.9189  0.3097  4 Cu 2.40-2.43, 2 Zn 2.41
Pt  0.5000  0.5000  0.5000  6 Cu 2.52

8.
Computed, not measured: a relaxed structure of CaPuCu2 at the PBE level of DFT.

Summary:
DFT formation energy in meV per atom: 109

Cell lengths 4.9783, 4.9783, 4.9783 Å; angles 60.00, 60.00, 60.00 degrees
Closest atoms and distances in Å follow each position.
Fractional coordinates of all 4 atoms:
Ca  0.0000  0.0000  0.0000  8 Cu 3.05
Pu  0.5000  0.5000  0.5000  8 Cu 3.05
Cu  0.2500  0.2500  0.2500  4 Ca 3.05, 4 Pu 3.05
Cu  0.7500  0.7500  0.7500  4 Ca 3.05, 4 Pu 3.05

9.
Computed, not measured: a relaxed structure of Ca2PuCu9 at the PBE level of DFT.

Summary:
DFT formation energy in meV per atom: -62

Cell lengths 8.8974, 8.8974, 8.8974 Å; angles 33.93, 33.93, 33.93 degrees
Closest atoms and distances in Å follow each position.
Fractional coordinates of all 12 atoms:
Ca  0.1420  0.1420  0.1420  12 Cu 3.02-3.17, 3 Ca 3.24
Ca  0.8580  0.8580  0.8580  12 Cu 3.02-3.17, 3 Ca 3.24
Pu  0.0000  0.0000  0.0000  18 Cu 3.00-3.29
Cu  0.0839  0.5791  0.5791  7 Cu 2.50-2.62
Cu  0.3320  0.3320  0.3320  6 Cu 2.50-2.54
Cu  0.4209  0.4209  0.9161  7 Cu 2.50-2.62
Cu  0.4209  0.9161  0.4209  7 Cu 2.50-2.62
Cu  0.5000  0.5000  0.5000  6 Cu 2.62
Cu  0.5791  0.0839  0.5791  7 Cu 2.50-2.62
Cu  0.5791  0.5791  0.0839  7 Cu 2.50-2.62
Cu  0.6680  0.6680  0.6680  6 Cu 2.50-2.54
Cu  0.9161  0.4209  0.4209  7 Cu 2.50-2.62

10.
Computed, not measured: a relaxed structure of CaPuCu10 at the PBE level of DFT.

Summary:
DFT formation energy in meV per atom: -72

Cell lengths 4.0438, 5.1296, 8.8077 Å; angles 90.00, 90.00, 90.00 degrees
Closest atoms and distances in Å follow each position.
Fractional coordinates of all 12 atoms:
Ca  0.0000  0.0000  0.0000  18 Cu 2.94-3.27
Pu  0.0000  0.5000  0.5000  18 Cu 2.94-3.27
Cu  0.0000  0.0000  0.3334  6 Cu 2.50
Cu  0.0000  0.0000  0.6666  6 Cu 2.50
Cu  0.0000  0.5000  0.1660  6 Cu 2.50-2.51
Cu  0.0000  0.5000  0.8340  6 Cu 2.50-2.51
Cu  0.5000  0.0000  0.5000  8 Cu 2.50-2.54
Cu  0.5000  0.2519  0.2523  8 Cu 2.50-2.58
Cu  0.5000  0.2519  0.7477  8 Cu 2.50-2.58
Cu  0.5000  0.5000  0.0000  8 Cu 2.50-2.56
Cu  0.5000  0.7481  0.2523  8 Cu 2.50-2.58
Cu  0.5000  0.7481  0.7477  8 Cu 2.50-2.58

11.
Computed, not measured: a relaxed structure of CaPuCu2 at the PBE level of DFT.

Summary:
DFT formation energy in meV per atom: 31

Cell lengths 3.4205, 3.4205, 7.3382 Å; angles 90.00, 90.00, 90.00 degrees
Closest atoms and distances in Å follow each position.
Fractional coordinates of all 4 atoms:
Ca  0.0000  0.0000  0.0000  8 Cu 3.09, 4 Ca 3.42
Pu  0.0000  0.0000  0.5000  8 Cu 2.98
Cu  0.5000  0.5000  0.2618  4 Pu 2.98, 4 Ca 3.09
Cu  0.5000  0.5000  0.7382  4 Pu 2.98, 4 Ca 3.09

12.
Computed, not measured: a relaxed structure of CaPuCu at the PBE level of DFT.

Summary:
DFT formation energy in meV per atom: 103

Cell lengths 7.4031, 7.4031, 7.9634 Å; angles 90.00, 90.00, 132.30 degrees
Closest atoms and distances in Å follow each position.
Fractional coordinates of all 12 atoms:
Ca  0.1949  0.8051  0.8959  4 Cu 3.01-3.27
Ca  0.3051  0.6949  0.3959  4 Cu 3.01-3.27
Ca  0.6949  0.3051  0.6041  4 Cu 3.01-3.27
Ca  0.8051  0.1949  0.1041  4 Cu 3.01-3.27
Pu  0.2063  0.2937  0.7500  4 Cu 2.94, 2 Pu 2.99
Pu  0.2937  0.2063  0.2500  4 Cu 2.94, 2 Pu 2.99
Pu  0.7063  0.7937  0.7500  4 Cu 2.94, 2 Pu 2.99
Pu  0.7937  0.7063  0.2500  4 Cu 2.94, 2 Pu 2.99
Cu  0.1025  0.8975  0.5522  1 Cu 2.90, 4 Pu 2.94, 2 Ca 3.01
Cu  0.3975  0.6025  0.0522  1 Cu 2.90, 4 Pu 2.94, 2 Ca 3.01
Cu  0.6025  0.3975  0.9478  1 Cu 2.90, 4 Pu 2.94, 2 Ca 3.01
Cu  0.8975  0.1025  0.4478  1 Cu 2.90, 4 Pu 2.94, 2 Ca 3.01